--- one ---
Density functional theory data (PBE) for an optimized crystal structure of YScCdOs.

```
YScCdOs
1.0
3.370 0.000 0.000
0.000 3.370 0.000
0.000 0.000 7.502
Y Sc Cd Os
1 1 1 1
Direct
0.000 0.000 0.000
0.000 0.000 0.574
0.500 0.500 0.310
0.500 0.500 0.766
```

crystal system	tetragonal
magnetic moment	0.0	μB per formula unit
DOS(E_F)	3.03	states/eV/f.u.
space group	P4mm (99)

***

--- two ---
Density functional theory data (PBE) for an optimized crystal structure of YScCdOs.

```
YScCdOs
1.0
0.000 3.457 3.457
3.457 0.000 3.457
3.457 3.457 0.000
Y Sc Cd Os
1 1 1 1
Direct
0.000 0.000 0.000
0.500 0.500 0.500
0.250 0.250 0.250
0.750 0.750 0.750
```

crystal system	cubic
magnetic moment	0.0	μB per formula unit
DOS(E_F)	3.52	states/eV/f.u.
space group	F-43m (216)

***

Quick one: least stable of them? two

***

--- one ---
Density functional theory data (PBE) for an optimized crystal structure of CdOs3Se.

```
CdOs3Se
1.0
4.935 0.000 0.000
0.000 4.935 0.000
0.000 0.000 4.935
Cd Os Se
1 3 1
Direct
0.000 0.000 0.000
0.000 0.000 0.500
0.000 0.500 0.000
0.500 0.000 0.000
0.500 0.500 0.500
```

crystal system	cubic
magnetic moment	7.4	μB per formula unit
DOS(E_F)	6.76	states/eV/f.u.
space group	Pm-3m (221)

***

--- two ---
Density functional theory data (PBE) for an optimized crystal structure of CdOs3Se.

```
CdOs3Se
1.0
4.558 0.000 0.000
0.000 4.558 0.000
0.000 0.000 4.558
Cd Os Se
1 3 1
Direct
0.000 0.000 0.000
0.000 0.500 0.500
0.500 0.000 0.500
0.500 0.500 0.000
0.500 0.500 0.500
```

crystal system	cubic
magnetic moment	0.0	μB per formula unit
DOS(E_F)	5.48	states/eV/f.u.
space group	Pm-3m (221)

***

Quick one: least stable of them? one

***

--- one ---
Density functional theory data (PBE) for an optimized crystal structure of CdOs2Se.

```
CdOs2Se
1.0
2.908 0.000 0.000
0.000 2.908 0.000
0.000 0.000 8.346
Cd Os Se
1 2 1
Direct
0.000 0.000 0.000
0.000 0.000 0.447
0.500 0.500 0.248
0.500 0.500 0.662
```

crystal system	tetragonal
magnetic moment	0.0	μB per formula unit
DOS(E_F)	3.88	states/eV/f.u.
space group	P4mm (99)

***

--- two ---
Density functional theory data (PBE) for an optimized crystal structure of CdOs2Se.

```
CdOs2Se
1.0
-3.622 3.622 2.740
3.622 -3.622 2.740
3.622 3.622 -2.740
Cd Os Se
2 4 2
Direct
0.000 0.000 0.000
0.750 0.250 0.500
0.190 0.625 0.065
0.375 0.440 0.565
0.560 0.125 0.935
0.875 0.810 0.435
0.250 0.750 0.500
0.500 0.500 0.000
```

crystal system	tetragonal
magnetic moment	0.0	μB per formula unit
DOS(E_F)	1.82	states/eV/f.u.
space group	I-42d (122)

***

Quick one: least stable of them? two

***

--- one ---
Density functional theory data (PBE) for an optimized crystal structure of CdOs2Se.

```
CdOs2Se
1.0
4.542 0.000 0.000
0.000 4.542 0.000
0.000 0.000 3.140
Cd Os Se
1 2 1
Direct
0.000 0.000 0.000
0.000 0.500 0.500
0.500 0.000 0.500
0.500 0.500 0.000
```

crystal system	tetragonal
magnetic moment	0.0	μB per formula unit
DOS(E_F)	5.80	states/eV/f.u.
space group	P4/mmm (123)

***

--- two ---
Density functional theory data (PBE) for an optimized crystal structure of CdOs2Se.

```
CdOs2Se
1.0
3.039 0.000 0.000
0.000 3.039 0.000
0.000 0.000 6.965
Cd Os Se
1 2 1
Direct
0.000 0.000 0.000
0.500 0.500 0.287
0.500 0.500 0.713
0.000 0.000 0.500
```

crystal system	tetragonal
magnetic moment	0.0	μB per formula unit
DOS(E_F)	3.96	states/eV/f.u.
space group	P4/mmm (123)

***

--- three ---
Density functional theory data (PBE) for an optimized crystal structure of CdOs2Se.

```
CdOs2Se
1.0
3.002 0.000 0.000
0.000 4.126 0.000
-1.358 0.000 5.383
Cd Os Se
1 2 1
Direct
0.000 0.000 0.000
0.364 0.500 0.719
0.636 0.500 0.281
0.500 0.000 0.500
```

crystal system	monoclinic
magnetic moment	0.0	μB per formula unit
DOS(E_F)	3.01	states/eV/f.u.
space group	P2/m (10)

***

Quick one: least stable of them? one

***

--- one ---
Density functional theory data (PBE) for an optimized crystal structure of CdOs2Se.

```
CdOs2Se
1.0
1.472 0.850 8.644
-1.472 0.850 8.644
0.000 -1.700 8.644
Cd Os Se
1 2 1
Direct
0.000 0.000 0.000
0.241 0.241 0.241
0.759 0.759 0.759
0.500 0.500 0.500
```

crystal system	trigonal
magnetic moment	0.0	μB per formula unit
DOS(E_F)	4.20	states/eV/f.u.
space group	R-3m (166)

***

--- two ---
Density functional theory data (PBE) for an optimized crystal structure of CdOs2Se.

```
CdOs2Se
1.0
4.057 0.000 0.000
0.000 4.057 0.000
0.000 0.000 4.060
Cd Os Se
1 2 1
Direct
0.000 0.000 0.000
0.000 0.500 0.500
0.500 0.000 0.500
0.500 0.500 0.000
```

crystal system	tetragonal
magnetic moment	0.0	μB per formula unit
DOS(E_F)	4.54	states/eV/f.u.
space group	P4/mmm (123)

***

--- three ---
Density functional theory data (PBE) for an optimized crystal structure of CdOs2Se.

```
CdOs2Se
1.0
1.431 -2.454 0.000
1.431 2.454 0.000
0.000 0.000 9.411
Cd Os Se
1 2 1
Direct
0.000 0.000 0.000
0.500 0.500 0.262
0.500 0.500 0.738
0.000 0.000 0.500
```

crystal system	orthorhombic
magnetic moment	0.0	μB per formula unit
DOS(E_F)	3.58	states/eV/f.u.
space group	Cmmm (65)

***

Quick one: least stable of them? two

***

--- one ---
Density functional theory data (PBE) for an optimized crystal structure of Sm3CdOs.

```
Sm3CdOs
1.0
0.000 5.001 8.101
3.321 0.000 8.101
3.321 5.001 0.000
Sm Cd Os
6 2 2
Direct
0.198 0.583 0.417
0.202 0.202 0.798
0.417 0.802 0.198
0.583 0.198 0.802
0.798 0.798 0.202
0.802 0.417 0.583
0.206 0.794 0.794
0.794 0.206 0.206
0.250 0.250 0.250
0.750 0.750 0.750
```

crystal system	orthorhombic
magnetic moment	0.0	μB per formula unit
DOS(E_F)	3.88	states/eV/f.u.
space group	Fmmm (69)

***

--- two ---
Density functional theory data (PBE) for an optimized crystal structure of Sm3CdOs.

```
Sm3CdOs
1.0
5.483 0.000 0.000
0.000 5.483 0.000
0.000 0.000 5.483
Sm Cd Os
3 1 1
Direct
0.000 0.000 0.500
0.000 0.500 0.000
0.500 0.000 0.000
0.500 0.500 0.500
0.000 0.000 0.000
```

crystal system	cubic
magnetic moment	0.0	μB per formula unit
DOS(E_F)	3.89	states/eV/f.u.
space group	Pm-3m (221)

***

Quick one: least stable of them? two